PaBeAsO | PBE | relaxed

Calculated values
**VASP energy**: -53.2 eV/cell
**Crystal system**: orthorhombic

```
data_PaBeAsO
_chemical_formula_sum 'Pa2 Be2 As2 O2'
_cell_length_a 4.303
_cell_length_b 6.031
_cell_length_c 5.686
_cell_angle_alpha 90.00
_cell_angle_beta 90.00
_cell_angle_gamma 90.00
_space_group_name_H-M_alt 'P m c 21'
_space_group_IT_number 26
_space_group_name_Hall 'P 2c -2'
loop_
_atom_site_label
_atom_site_type_symbol
_atom_site_fract_x
_atom_site_fract_y
_atom_site_fract_z
Pa1 Pa 0.000 0.245 0.000
Be1 Be 0.500 0.396 0.643
As1 As 0.000 0.240 0.504
O1 O 0.500 0.397 0.945
```

PaBeAsO | PBE | relaxed

Calculated values
**VASP energy**: -53.9 eV/cell
**Crystal system**: orthorhombic

```
data_PaBeAsO
_chemical_formula_sum 'Pa2 Be2 As2 O2'
_cell_length_a 3.905
_cell_length_b 4.212
_cell_length_c 7.215
_cell_angle_alpha 90.00
_cell_angle_beta 90.00
_cell_angle_gamma 90.00
_space_group_name_H-M_alt 'P m c 21'
_space_group_IT_number 26
_space_group_name_Hall 'P 2c -2'
loop_
_atom_site_label
_atom_site_type_symbol
_atom_site_fract_x
_atom_site_fract_y
_atom_site_fract_z
Pa1 Pa 0.000 0.248 0.000
Be1 Be 0.500 0.254 0.334
As1 As 0.500 0.251 0.667
O1 O 0.000 0.247 0.333
```

PaBeAsO | PBE | relaxed

Calculated values
**VASP energy**: -43.1 eV/cell
**Crystal system**: tetragonal

```
data_PaBeAsO
_chemical_formula_sum 'Pa2 Be2 As2 O2'
_cell_length_a 4.627
_cell_length_b 4.627
_cell_length_c 5.588
_cell_angle_alpha 90.00
_cell_angle_beta 90.00
_cell_angle_gamma 90.00
_space_group_name_H-M_alt 'P 4/n m m'
_space_group_IT_number 129
loop_
_space_group_symop_operation_xyz
'x,y,z'
'-x,-y,-z'
'-y+1/2,x,z'
'y+1/2,-x,-z'
'-x+1/2,-y+1/2,z'
'x+1/2,y+1/2,-z'
'y,-x+1/2,z'
'-y,x+1/2,-z'
'x+1/2,-y,-z'
'-x+1/2,y,z'
'-y,-x,-z'
'y,x,z'
'-x,y+1/2,-z'
'x,-y+1/2,z'
'y+1/2,x+1/2,-z'
'-y+1/2,-x+1/2,z'
loop_
_atom_site_label
_atom_site_type_symbol
_atom_site_fract_x
_atom_site_fract_y
_atom_site_fract_z
Pa1 Pa 0.250 0.750 0.000
Be1 Be 0.250 0.250 0.347
As1 As 0.250 0.250 0.716
O1 O 0.250 0.750 0.500
```

PaBeAsO | PBE | relaxed

Calculated values
**VASP energy**: -53.9 eV/cell
**Crystal system**: tetragonal

```
data_PaBeAsO
_chemical_formula_sum 'Pa2 Be2 As2 O2'
_cell_length_a 3.926
_cell_length_b 3.926
_cell_length_c 8.093
_cell_angle_alpha 90.00
_cell_angle_beta 90.00
_cell_angle_gamma 90.00
_space_group_name_H-M_alt 'P 4/n m m'
_space_group_IT_number 129
loop_
_space_group_symop_operation_xyz
'x,y,z'
'-x,-y,-z'
'-y+1/2,x,z'
'y+1/2,-x,-z'
'-x+1/2,-y+1/2,z'
'x+1/2,y+1/2,-z'
'y,-x+1/2,z'
'-y,x+1/2,-z'
'x+1/2,-y,-z'
'-x+1/2,y,z'
'-y,-x,-z'
'y,x,z'
'-x,y+1/2,-z'
'x,-y+1/2,z'
'y+1/2,x+1/2,-z'
'-y+1/2,-x+1/2,z'
loop_
_atom_site_label
_atom_site_type_symbol
_atom_site_fract_x
_atom_site_fract_y
_atom_site_fract_z
Pa1 Pa 0.250 0.250 0.170
Be1 Be 0.250 0.750 0.500
As1 As 0.250 0.250 0.651
O1 O 0.250 0.750 0.000
```

PmBeAsO | PBE | relaxed

Calculated values
**VASP energy**: -48.4 eV/cell
**Crystal system**: orthorhombic

```
data_PmBeAsO
_chemical_formula_sum 'Pm2 Be2 As2 O2'
_cell_length_a 3.130
_cell_length_b 5.444
_cell_length_c 7.166
_cell_angle_alpha 90.00
_cell_angle_beta 90.00
_cell_angle_gamma 90.00
_space_group_name_H-M_alt 'P m c 21'
_space_group_IT_number 26
_space_group_name_Hall 'P 2c -2'
loop_
_atom_site_label
_atom_site_type_symbol
_atom_site_fract_x
_atom_site_fract_y
_atom_site_fract_z
Pm1 Pm 0.000 0.164 0.000
Be1 Be 0.500 0.304 0.353
As1 As 0.500 0.345 0.668
O1 O 0.000 0.188 0.318
```

PmBeAsO | PBE | relaxed

Calculated values
**VASP energy**: -39.3 eV/cell
**Crystal system**: tetragonal

```
data_PmBeAsO
_chemical_formula_sum 'Pm2 Be2 As2 O2'
_cell_length_a 3.835
_cell_length_b 3.835
_cell_length_c 9.885
_cell_angle_alpha 90.00
_cell_angle_beta 90.00
_cell_angle_gamma 90.00
_space_group_name_H-M_alt 'P 4/n m m'
_space_group_IT_number 129
loop_
_space_group_symop_operation_xyz
'x,y,z'
'-x,-y,-z'
'-y+1/2,x,z'
'y+1/2,-x,-z'
'-x+1/2,-y+1/2,z'
'x+1/2,y+1/2,-z'
'y,-x+1/2,z'
'-y,x+1/2,-z'
'x+1/2,-y,-z'
'-x+1/2,y,z'
'-y,-x,-z'
'y,x,z'
'-x,y+1/2,-z'
'x,-y+1/2,z'
'y+1/2,x+1/2,-z'
'-y+1/2,-x+1/2,z'
loop_
_atom_site_label
_atom_site_type_symbol
_atom_site_fract_x
_atom_site_fract_y
_atom_site_fract_z
Pm1 Pm 0.250 0.750 0.000
Be1 Be 0.250 0.250 0.489
As1 As 0.250 0.250 0.228
O1 O 0.250 0.750 0.500
```

PmBeAsO | PBE | relaxed

Calculated values
**VASP energy**: -50.1 eV/cell
**Crystal system**: orthorhombic

```
data_PmBeAsO
_chemical_formula_sum 'Pm2 Be2 As2 O2'
_cell_length_a 4.242
_cell_length_b 6.129
_cell_length_c 5.676
_cell_angle_alpha 90.00
_cell_angle_beta 90.00
_cell_angle_gamma 90.00
_space_group_name_H-M_alt 'P m c 21'
_space_group_IT_number 26
_space_group_name_Hall 'P 2c -2'
loop_
_atom_site_label
_atom_site_type_symbol
_atom_site_fract_x
_atom_site_fract_y
_atom_site_fract_z
Pm1 Pm 0.000 0.248 0.000
Be1 Be 0.500 0.106 0.628
As1 As 0.000 0.270 0.509
O1 O 0.500 0.100 0.932
```

PmBeAsO | PBE | relaxed

Calculated values
**VASP energy**: -50.6 eV/cell
**Crystal system**: tetragonal

```
data_PmBeAsO
_chemical_formula_sum 'Pm2 Be2 As2 O2'
_cell_length_a 3.888
_cell_length_b 3.888
_cell_length_c 8.741
_cell_angle_alpha 90.00
_cell_angle_beta 90.00
_cell_angle_gamma 90.00
_space_group_name_H-M_alt 'P 4/n m m'
_space_group_IT_number 129
loop_
_space_group_symop_operation_xyz
'x,y,z'
'-x,-y,-z'
'-y+1/2,x,z'
'y+1/2,-x,-z'
'-x+1/2,-y+1/2,z'
'x+1/2,y+1/2,-z'
'y,-x+1/2,z'
'-y,x+1/2,-z'
'x+1/2,-y,-z'
'-x+1/2,y,z'
'-y,-x,-z'
'y,x,z'
'-x,y+1/2,-z'
'x,-y+1/2,z'
'y+1/2,x+1/2,-z'
'-y+1/2,-x+1/2,z'
loop_
_atom_site_label
_atom_site_type_symbol
_atom_site_fract_x
_atom_site_fract_y
_atom_site_fract_z
Pm1 Pm 0.250 0.250 0.139
Be1 Be 0.250 0.750 0.500
As1 As 0.250 0.250 0.651
O1 O 0.250 0.750 0.000
```

BeTcAsO | PBE | relaxed

Calculated values
**VASP energy**: -54.9 eV/cell
**Crystal system**: tetragonal

```
data_BeTcAsO
_chemical_formula_sum 'Be2 Tc2 As2 O2'
_cell_length_a 3.531
_cell_length_b 3.531
_cell_length_c 9.564
_cell_angle_alpha 90.00
_cell_angle_beta 90.00
_cell_angle_gamma 90.00
_space_group_name_H-M_alt 'P 4/n m m'
_space_group_IT_number 129
loop_
_space_group_symop_operation_xyz
'x,y,z'
'-x,-y,-z'
'-y+1/2,x,z'
'y+1/2,-x,-z'
'-x+1/2,-y+1/2,z'
'x+1/2,y+1/2,-z'
'y,-x+1/2,z'
'-y,x+1/2,-z'
'x+1/2,-y,-z'
'-x+1/2,y,z'
'-y,-x,-z'
'y,x,z'
'-x,y+1/2,-z'
'x,-y+1/2,z'
'y+1/2,x+1/2,-z'
'-y+1/2,-x+1/2,z'
loop_
_atom_site_label
_atom_site_type_symbol
_atom_site_fract_x
_atom_site_fract_y
_atom_site_fract_z
Be1 Be 0.250 0.250 0.007
Tc1 Tc 0.250 0.750 0.500
As1 As 0.250 0.250 0.307
O1 O 0.250 0.750 0.000
```

BeTcAsO | PBE | relaxed

Calculated values
**VASP energy**: -53.1 eV/cell
**Crystal system**: orthorhombic

```
data_BeTcAsO
_chemical_formula_sum 'Be2 Tc2 As2 O2'
_cell_length_a 4.212
_cell_length_b 5.262
_cell_length_c 4.795
_cell_angle_alpha 90.00
_cell_angle_beta 90.00
_cell_angle_gamma 90.00
_space_group_name_H-M_alt 'P m c 21'
_space_group_IT_number 26
_space_group_name_Hall 'P 2c -2'
loop_
_atom_site_label
_atom_site_type_symbol
_atom_site_fract_x
_atom_site_fract_y
_atom_site_fract_z
Be1 Be 0.000 0.125 0.000
Tc1 Tc 0.500 0.190 0.324
As1 As 0.500 0.338 0.821
O1 O 0.000 0.121 0.321
```

BeTcAsO | PBE | relaxed

Calculated values
**VASP energy**: -47.8 eV/cell
**Crystal system**: tetragonal

```
data_BeTcAsO
_chemical_formula_sum 'Be2 Tc2 As2 O2'
_cell_length_a 3.421
_cell_length_b 3.421
_cell_length_c 8.279
_cell_angle_alpha 90.00
_cell_angle_beta 90.00
_cell_angle_gamma 90.00
_space_group_name_H-M_alt 'P 4/n m m'
_space_group_IT_number 129
loop_
_space_group_symop_operation_xyz
'x,y,z'
'-x,-y,-z'
'-y+1/2,x,z'
'y+1/2,-x,-z'
'-x+1/2,-y+1/2,z'
'x+1/2,y+1/2,-z'
'y,-x+1/2,z'
'-y,x+1/2,-z'
'x+1/2,-y,-z'
'-x+1/2,y,z'
'-y,-x,-z'
'y,x,z'
'-x,y+1/2,-z'
'x,-y+1/2,z'
'y+1/2,x+1/2,-z'
'-y+1/2,-x+1/2,z'
loop_
_atom_site_label
_atom_site_type_symbol
_atom_site_fract_x
_atom_site_fract_y
_atom_site_fract_z
Be1 Be 0.250 0.750 0.000
Tc1 Tc 0.250 0.250 0.347
As1 As 0.250 0.250 0.812
O1 O 0.250 0.750 0.500
```

BeTcAsO | PBE | relaxed

Calculated values
**VASP energy**: -54.7 eV/cell
**Crystal system**: orthorhombic

```
data_BeTcAsO
_chemical_formula_sum 'Be2 Tc2 As2 O2'
_cell_length_a 2.946
_cell_length_b 5.859
_cell_length_c 5.896
_cell_angle_alpha 90.00
_cell_angle_beta 90.00
_cell_angle_gamma 90.00
_space_group_name_H-M_alt 'P m c 21'
_space_group_IT_number 26
_space_group_name_Hall 'P 2c -2'
loop_
_atom_site_label
_atom_site_type_symbol
_atom_site_fract_x
_atom_site_fract_y
_atom_site_fract_z
Be1 Be 0.000 0.140 0.000
Tc1 Tc 0.500 0.493 0.776
As1 As 0.000 0.251 0.518
O1 O 0.500 0.228 0.031
```